(1)
First-principles (PBE-GGA) data for crystalline NaAlFeP2 at its relaxed geometry, as listed in Alexandria via LeMat-Bulk.

```
data_NaAlFeP2
_cell_length_a 4.630
_cell_length_b 4.630
_cell_length_c 5.059
_cell_angle_alpha 90.00
_cell_angle_beta 90.00
_cell_angle_gamma 90.00
_symmetry_space_group_name_H-M 'P 4/m m m'
_symmetry_Int_Tables_number 123
_symmetry_space_group_name_Hall '-P 4 2'
loop_
_atom_site_label
_atom_site_type_symbol
_atom_site_fract_x
_atom_site_fract_y
_atom_site_fract_z
Na1 Na 0.000 0.000 0.000
Al1 Al 0.000 0.000 0.500
Fe1 Fe 0.500 0.500 0.000
P1 P 0.000 0.500 0.500
```

Properties
Calculated density in g/cm3: 2.57
Energy of formation from the pure elements in meV per atom: 966
Final energy in eV/cell: -19.51

=====

(2)
First-principles (PBE-GGA) data for crystalline NaAlFeP at its relaxed geometry, as listed in Alexandria via LeMat-Bulk.

```
data_NaAlFeP
_cell_length_a 3.780
_cell_length_b 3.780
_cell_length_c 10.913
_cell_angle_alpha 90.00
_cell_angle_beta 90.00
_cell_angle_gamma 90.00
_symmetry_space_group_name_H-M 'P 4/n m m'
_symmetry_Int_Tables_number 129
loop_
_symmetry_equiv_pos_as_xyz
'x,y,z'
'-x,-y,-z'
'-y+1/2,x,z'
'y+1/2,-x,-z'
'-x+1/2,-y+1/2,z'
'x+1/2,y+1/2,-z'
'y,-x+1/2,z'
'-y,x+1/2,-z'
'x+1/2,-y,-z'
'-x+1/2,y,z'
'-y,-x,-z'
'y,x,z'
'-x,y+1/2,-z'
'x,-y+1/2,z'
'y+1/2,x+1/2,-z'
'-y+1/2,-x+1/2,z'
loop_
_atom_site_label
_atom_site_type_symbol
_atom_site_fract_x
_atom_site_fract_y
_atom_site_fract_z
Na1 Na 0.250 0.250 0.237
Al1 Al 0.250 0.750 0.500
Fe1 Fe 0.250 0.750 0.000
P1 P 0.250 0.250 0.898
```

Properties
Calculated density in g/cm3: 2.91
Energy of formation from the pure elements in meV per atom: -203
Final energy in eV/cell: -39.49

=====

(3)
First-principles (PBE-GGA) data for crystalline NaAlFe2S at its relaxed geometry, as listed in Alexandria via LeMat-Bulk.

```
data_NaAlFe2S
_cell_length_a 4.472
_cell_length_b 4.472
_cell_length_c 5.291
_cell_angle_alpha 90.00
_cell_angle_beta 90.00
_cell_angle_gamma 90.00
_symmetry_space_group_name_H-M 'P 4/m m m'
_symmetry_Int_Tables_number 123
_symmetry_space_group_name_Hall '-P 4 2'
loop_
_atom_site_label
_atom_site_type_symbol
_atom_site_fract_x
_atom_site_fract_y
_atom_site_fract_z
Na1 Na 0.000 0.000 0.000
Al1 Al 0.000 0.000 0.500
Fe1 Fe 0.000 0.500 0.500
S1 S 0.500 0.500 0.000
```

Properties
Calculated density in g/cm3: 3.04
Final energy in eV/cell: -21.30

=====

(4)
First-principles (PBE-GGA) data for crystalline NbAlFe4 at its relaxed geometry, as listed in Alexandria via LeMat-Bulk.

```
data_NbAlFe4
_cell_length_a 4.7799
_cell_length_b 4.7799
_cell_length_c 7.6992
_cell_angle_alpha 90.00
_cell_angle_beta 90.00
_cell_angle_gamma 120.00
_symmetry_space_group_name_H-M 'P -3 m 1'
_symmetry_Int_Tables_number 164
_symmetry_space_group_name_Hall '-P 3 2"'
loop_
_atom_site_label
_atom_site_type_symbol
_atom_site_fract_x
_atom_site_fract_y
_atom_site_fract_z
Nb1 Nb 0.3333 0.6667 0.0779
Al1 Al 0.3333 0.6667 0.4451
Fe1 Fe 0.0000 0.0000 0.0000
Fe2 Fe 0.0000 0.0000 0.5000
Fe3 Fe 0.1691 0.3382 0.7475
```

Properties
Calculated density in g/cm3: 7.48
Energy of formation from the pure elements in meV per atom: -172
Final energy in eV/cell: -97.38

=====

(5)
First-principles (PBE-GGA) data for crystalline Nb3AlFe8 at its relaxed geometry, as listed in Alexandria via LeMat-Bulk.

```
data_Nb3AlFe8
_cell_length_a 4.8090
_cell_length_b 4.8090
_cell_length_c 23.4612
_cell_angle_alpha 90.00
_cell_angle_beta 90.00
_cell_angle_gamma 120.00
_symmetry_space_group_name_H-M 'R 3 m'
_symmetry_Int_Tables_number 160
_symmetry_space_group_name_Hall 'R 3 -2"'
loop_
_atom_site_label
_atom_site_type_symbol
_atom_site_fract_x
_atom_site_fract_y
_atom_site_fract_z
Nb1 Nb 0.0000 0.0000 0.0000
Nb2 Nb 0.0000 0.0000 0.1265
Nb3 Nb 0.0000 0.0000 0.5049
Al1 Al 0.0000 0.0000 0.6286
Fe1 Fe 0.0000 0.0000 0.3144
Fe2 Fe 0.0000 0.0000 0.8143
Fe3 Fe 0.9996 0.4998 0.0643
Fe4 Fe 0.0002 0.5001 0.5648
```

Properties
Calculated density in g/cm3: 7.98
Energy of formation from the pure elements in meV per atom: -189
Final energy in eV/cell: -311.77

=====

(6)
First-principles (PBE-GGA) data for crystalline NbAl2Fe9 at its relaxed geometry, as listed in Alexandria via LeMat-Bulk.

```
data_NbAl2Fe9
_cell_length_a 4.7145
_cell_length_b 4.7145
_cell_length_c 23.3531
_cell_angle_alpha 90.00
_cell_angle_beta 90.00
_cell_angle_gamma 120.00
_symmetry_space_group_name_H-M 'R -3 m'
_symmetry_Int_Tables_number 166
_symmetry_space_group_name_Hall '-R 3 2"'
loop_
_atom_site_label
_atom_site_type_symbol
_atom_site_fract_x
_atom_site_fract_y
_atom_site_fract_z
Nb1 Nb 0.0000 0.0000 0.0000
Al1 Al 0.0000 0.0000 0.1427
Fe1 Fe 0.0000 0.0000 0.3344
Fe2 Fe 0.0000 0.0000 0.5000
Fe3 Fe 0.0065 0.5033 0.9140
```

Properties
Calculated density in g/cm3: 7.20
Energy of formation from the pure elements in meV per atom: -36
Final energy in eV/cell: -282.45

=====

(7)
First-principles (PBE-GGA) data for crystalline Nb6AlFe at its relaxed geometry, as listed in Alexandria via LeMat-Bulk.

```
data_Nb6AlFe
_cell_length_a 5.148
_cell_length_b 5.148
_cell_length_c 5.148
_cell_angle_alpha 90.00
_cell_angle_beta 90.00
_cell_angle_gamma 90.00
_symmetry_space_group_name_H-M 'P m -3'
_symmetry_Int_Tables_number 200
_symmetry_space_group_name_Hall '-P 2 2 3'
loop_
_atom_site_label
_atom_site_type_symbol
_atom_site_fract_x
_atom_site_fract_y
_atom_site_fract_z
Nb1 Nb 0.000 0.245 0.500
Al1 Al 0.500 0.500 0.500
Fe1 Fe 0.000 0.000 0.000
```

Properties
Calculated density in g/cm3: 7.79
Energy of formation from the pure elements in meV per atom: -132
Final energy in eV/cell: -73.68

=====

(8)
First-principles (PBE-GGA) data for crystalline NbAlFe2 at its relaxed geometry, as listed in Alexandria via LeMat-Bulk.

```
data_NbAlFe2
_cell_length_a 6.726
_cell_length_b 6.726
_cell_length_c 5.300
_cell_angle_alpha 90.00
_cell_angle_beta 90.00
_cell_angle_gamma 90.00
_symmetry_space_group_name_H-M 'I -4 2 d'
_symmetry_Int_Tables_number 122
_symmetry_space_group_name_Hall 'I -4 2bw'
loop_
_atom_site_label
_atom_site_type_symbol
_atom_site_fract_x
_atom_site_fract_y
_atom_site_fract_z
Nb1 Nb 0.000 0.000 0.000
Al1 Al 0.000 0.000 0.500
Fe1 Fe 0.246 0.250 0.625
```

Properties
Calculated density in g/cm3: 6.42
Energy of formation from the pure elements in meV per atom: 440
Final energy in eV/cell: -115.90